Pm2YNpO8 | the Alexandria database | PBE | relaxed; spin magnetization = 0.00 μB per formula unit; formation energy without anion corrections = -3.141 eV/atom; raw total energy = -8.856 eV per atom
1.0
3.9225 0.0000 0.0000
0.0000 7.5512 0.0000
-0.4239 0.0000 5.4961
Pm Y Np O
2 1 1 8
Cartesian
0.0000 1.8261 0.0000
0.0000 5.7251 0.0000
1.7493 0.0000 2.7480
1.7493 3.7756 2.7480
-0.0860 0.0000 1.3879
0.0829 3.7756 1.5487
1.5260 2.1085 4.0164
1.5260 5.4427 4.0164
1.9726 2.1085 1.4797
1.9726 5.4427 1.4797
3.4158 3.7756 3.9474
3.5846 0.0000 4.1082